# 1
DFT (PBE) results for a geometry-optimized TcAuO2F structure.

Lattice parameters (Å, degrees): 3.818 3.818 4.486 90.00 90.00 90.00
Fractional coordinates of all 5 atoms:
Au 0.500 0.500 0.500
O 0.500 0.000 0.000
O 0.000 0.500 0.000
Tc 0.000 0.000 0.000
F 0.000 0.000 0.500

Properties
Its formation energy (no corrections) is -725 meV per atom. The total energy is -5.8111 eV/atom. As for the crystal system: tetragonal. As for the space group: No. 123.

---

# 2
DFT (PBE) results for a geometry-optimized TcAuOF2 structure.

Lattice parameters (Å, degrees): 4.271 4.271 3.767 90.00 90.00 90.00
Fractional coordinates of all 5 atoms:
O 0.000 0.000 0.500
F 0.000 0.500 0.000
F 0.500 0.000 0.000
Tc 0.000 0.000 0.000
Au 0.500 0.500 0.500

Properties
Its formation energy (no corrections) is -776 meV per atom. The total energy is -5.2444 eV/atom. As for the crystal system: tetragonal. As for the space group: No. 123.

---

# 3
DFT (PBE) results for a geometry-optimized TcAuO2F structure.

Lattice parameters (Å, degrees): 4.131 4.131 4.313 90.00 90.00 90.00
Fractional coordinates of all 5 atoms:
O 0.000 0.500 0.000
O 0.500 0.000 0.000
F 0.000 0.000 0.500
Tc 0.500 0.500 0.500
Au 0.000 0.000 0.000

Properties
Its formation energy (no corrections) is 421 meV per atom. The total energy is -4.6651 eV/atom. As for the crystal system: tetragonal. As for the space group: No. 123.

---

# 4
DFT (PBE) results for a geometry-optimized TcAuO4F structure.

Lattice parameters (Å, degrees): 6.649 6.649 6.745 70.92 70.92 65.00
Fractional coordinates of all 14 atoms:
O 0.447 0.447 0.352
O 0.122 0.539 0.134
O 0.553 0.553 0.648
O 0.179 0.179 0.538
O 0.539 0.122 0.134
O 0.878 0.461 0.866
O 0.461 0.878 0.866
O 0.821 0.821 0.462
Au 0.841 0.841 0.142
Au 0.159 0.159 0.858
F 0.877 0.877 0.819
F 0.123 0.123 0.181
Tc 0.315 0.315 0.286
Tc 0.685 0.685 0.714

Properties
Its formation energy (no corrections) is -960 meV per atom. The total energy is -6.0101 eV/atom. As for the crystal system: monoclinic. As for the space group: No. 12.

---

# 5
DFT (PBE) results for a geometry-optimized TeAuO2F structure.

Lattice parameters (Å, degrees): 4.233 4.233 4.263 90.00 90.00 90.00
Fractional coordinates of all 5 atoms:
Au 0.000 0.000 0.000
F 0.000 0.000 0.500
O 0.000 0.500 0.000
O 0.500 0.000 0.000
Te 0.500 0.500 0.500

Properties
Its formation energy (no corrections) is 173 meV per atom. The total energy is -3.4679 eV/atom. As for the crystal system: tetragonal. As for the space group: No. 123.

---

# 6
DFT (PBE) results for a geometry-optimized TeAuOF2 structure.

Lattice parameters (Å, degrees): 4.563 4.563 4.090 90.00 90.00 90.00
Fractional coordinates of all 5 atoms:
F 0.000 0.500 0.000
F 0.500 0.000 0.000
Te 0.000 0.000 0.000
O 0.000 0.000 0.500
Au 0.500 0.500 0.500

Properties
Its formation energy (no corrections) is -627 meV per atom. The total energy is -3.6507 eV/atom. As for the crystal system: tetragonal. As for the space group: No. 123.

---

# 7
DFT (PBE) results for a geometry-optimized TeAuOF2 structure.

Lattice parameters (Å, degrees): 4.304 4.304 4.470 90.00 90.00 90.00
Fractional coordinates of all 5 atoms:
O 0.000 0.000 0.500
Au 0.000 0.000 0.000
Te 0.500 0.500 0.500
F 0.500 0.000 0.000
F 0.000 0.500 0.000

Properties
Its formation energy (no corrections) is -114 meV per atom. The total energy is -3.1378 eV/atom. As for the crystal system: tetragonal. As for the space group: No. 123.

---

# 8
DFT (PBE) results for a geometry-optimized TeAuO2F structure.

Lattice parameters (Å, degrees): 4.191 4.191 4.400 90.00 90.00 90.00
Fractional coordinates of all 5 atoms:
O 0.000 0.500 0.000
O 0.500 0.000 0.000
F 0.000 0.000 0.500
Au 0.500 0.500 0.500
Te 0.000 0.000 0.000

Properties
Its formation energy (no corrections) is -441 meV per atom. The total energy is -4.0826 eV/atom. As for the crystal system: tetragonal. As for the space group: No. 123.

---

# 9
DFT (PBE) results for a geometry-optimized TiAuOF2 structure.

Lattice parameters (Å, degrees): 4.108 4.108 3.846 90.00 90.00 90.00
Fractional coordinates of all 5 atoms:
F 0.000 0.500 0.000
F 0.500 0.000 0.000
O 0.000 0.000 0.500
Ti 0.000 0.000 0.000
Au 0.500 0.500 0.500

Properties
Its formation energy (no corrections) is -1895 meV per atom. The total energy is -5.8695 eV/atom. As for the crystal system: tetragonal. As for the space group: No. 123.

---

# 10
DFT (PBE) results for a geometry-optimized TiAuO2F structure.

Lattice parameters (Å, degrees): 3.899 3.899 4.031 90.00 90.00 90.00
Fractional coordinates of all 5 atoms:
F 0.000 0.000 0.500
O 0.500 0.000 0.000
O 0.000 0.500 0.000
Ti 0.000 0.000 0.000
Au 0.500 0.500 0.500

Properties
Its formation energy (no corrections) is -1768 meV per atom. The total energy is -6.3598 eV/atom. As for the crystal system: tetragonal. As for the space group: No. 123.

---

# 11
DFT (PBE) results for a geometry-optimized TiAuO2F structure.

Lattice parameters (Å, degrees): 4.110 4.110 4.314 90.00 90.00 90.00
Fractional coordinates of all 5 atoms:
O 0.500 0.000 0.000
O 0.000 0.500 0.000
Au 0.000 0.000 0.000
F 0.000 0.000 0.500
Ti 0.500 0.500 0.500

Properties
Its formation energy (no corrections) is -86 meV per atom. The total energy is -4.6777 eV/atom. As for the crystal system: tetragonal. As for the space group: No. 123.

---

# 12
DFT (PBE) results for a geometry-optimized TiAuOF2 structure.

Lattice parameters (Å, degrees): 4.482 4.482 4.042 90.00 90.00 90.00
Fractional coordinates of all 5 atoms:
Ti 0.500 0.500 0.500
F 0.000 0.500 0.000
F 0.500 0.000 0.000
O 0.000 0.000 0.500
Au 0.000 0.000 0.000

Properties
Its formation energy (no corrections) is -394 meV per atom. The total energy is -4.3683 eV/atom. As for the crystal system: tetragonal. As for the space group: No. 123.

---

# 13
DFT (PBE) results for a geometry-optimized TlAuOF2 structure.

Lattice parameters (Å, degrees): 4.983 3.726 4.983 90.00 90.00 90.00
Fractional coordinates of all 5 atoms:
O 0.000 0.000 0.000
F 0.000 0.000 0.500
F 0.500 0.000 0.000
Au 0.000 0.500 0.000
Tl 0.500 0.500 0.500

Properties
Its formation energy (no corrections) is -491 meV per atom. The total energy is -3.3594 eV/atom. As for the crystal system: tetragonal. As for the space group: No. 123.

---

# 14
DFT (PBE) results for a geometry-optimized TlAuOF2 structure.

Lattice parameters (Å, degrees): 4.679 4.679 3.960 90.00 90.00 90.00
Fractional coordinates of all 5 atoms:
Au 0.000 0.000 0.000
O 0.000 0.000 0.500
F 0.000 0.500 0.000
F 0.500 0.000 0.000
Tl 0.500 0.500 0.500

Properties
Its formation energy (no corrections) is -798 meV per atom. The total energy is -3.6666 eV/atom. As for the crystal system: tetragonal. As for the space group: No. 123.

---

# 15
DFT (PBE) results for a geometry-optimized TlAuO2F structure.

Lattice parameters (Å, degrees): 4.276 4.276 4.444 90.00 90.00 90.00
Fractional coordinates of all 5 atoms:
F 0.000 0.000 0.500
Au 0.500 0.500 0.500
O 0.000 0.500 0.000
O 0.500 0.000 0.000
Tl 0.000 0.000 0.000

Properties
Its formation energy (no corrections) is -15 meV per atom. The total energy is -3.5009 eV/atom. As for the crystal system: tetragonal. As for the space group: No. 123.

---

# 16
DFT (PBE) results for a geometry-optimized TlAuO2F structure.

Lattice parameters (Å, degrees): 3.967 3.967 5.445 90.00 90.00 90.00
Fractional coordinates of all 5 atoms:
O 0.000 0.500 0.000
O 0.500 0.000 0.000
Tl 0.500 0.500 0.500
Au 0.000 0.000 0.000
F 0.000 0.000 0.500

Properties
Its formation energy (no corrections) is -332 meV per atom. The total energy is -3.8180 eV/atom. As for the crystal system: tetragonal. As for the space group: No. 123.

---

# 17
DFT (PBE) results for a geometry-optimized TlAuOF2 structure.

Lattice parameters (Å, degrees): 4.488 4.488 4.210 90.00 90.00 90.00
Fractional coordinates of all 5 atoms:
O 0.000 0.000 0.500
F 0.000 0.500 0.000
F 0.500 0.000 0.000
Tl 0.000 0.000 0.000
Au 0.500 0.500 0.500

Properties
Its formation energy (no corrections) is -598 meV per atom. The total energy is -3.4673 eV/atom. As for the crystal system: tetragonal. As for the space group: No. 123.